# 1
# NaBrCl | Alexandria via LeMat-Bulk | GGA-PBE | optimized geometry
data_NaBrCl
_space_group_name_H-M_alt 'C 1 2/m 1'
_space_group_IT_number 12
_space_group_name_Hall '-C 2y'
_cell_length_a 20.8940
_cell_length_b 4.0052
_cell_length_c 4.0758
_cell_angle_alpha 90.00
_cell_angle_beta 94.49
_cell_angle_gamma 90.00
loop_
_atom_site_label
_atom_site_type_symbol
_atom_site_fract_x
_atom_site_fract_y
_atom_site_fract_z
_atom_site_occupancy
Na1 Na 0.1760 0.0000 0.2157 1
Br1 Br 0.0531 0.5000 0.9111 1
Cl1 Cl 0.1854 0.5000 0.7150 1
# Uncorrected formation energy: -1156 meV per atom
# D(E_F): 0.000 states/eV/cell


# 2
# NaBrCl2 | Alexandria via LeMat-Bulk | GGA-PBE | optimized geometry
data_NaBrCl2
_space_group_name_H-M_alt 'I -4 2 d'
_space_group_IT_number 122
_space_group_name_Hall 'I -4 2bw'
_cell_length_a 7.6574
_cell_length_b 7.6574
_cell_length_c 7.7812
_cell_angle_alpha 90.00
_cell_angle_beta 90.00
_cell_angle_gamma 90.00
loop_
_atom_site_label
_atom_site_type_symbol
_atom_site_fract_x
_atom_site_fract_y
_atom_site_fract_z
_atom_site_occupancy
Na1 Na 0.0000 0.0000 0.0000 1
Br1 Br 0.0000 0.0000 0.5000 1
Cl1 Cl 0.2259 0.2500 0.1250 1
# Uncorrected formation energy: -504 meV per atom
# D(E_F): 0.018 states/eV/cell


# 3
# NaBrCl2 | Alexandria via LeMat-Bulk | GGA-PBE | optimized geometry
data_NaBrCl2
_space_group_name_H-M_alt 'R -3 m'
_space_group_IT_number 166
_space_group_name_Hall '-R 3 2"'
_cell_length_a 5.3346
_cell_length_b 5.3346
_cell_length_c 13.4403
_cell_angle_alpha 90.00
_cell_angle_beta 90.00
_cell_angle_gamma 120.00
loop_
_atom_site_label
_atom_site_type_symbol
_atom_site_fract_x
_atom_site_fract_y
_atom_site_fract_z
_atom_site_occupancy
Na1 Na 0.0000 0.0000 0.0000 1
Br1 Br 0.0000 0.0000 0.5000 1
Cl1 Cl 0.0000 0.0000 0.1972 1
# Uncorrected formation energy: -445 meV per atom
# D(E_F): 14.133 states/eV/cell


# 4
# NaBrCl | Alexandria via LeMat-Bulk | GGA-PBE | optimized geometry
data_NaBrCl
_space_group_name_H-M_alt 'P 1 21/m 1'
_space_group_IT_number 11
_space_group_name_Hall '-P 2yb'
_cell_length_a 5.5554
_cell_length_b 5.2019
_cell_length_c 6.3052
_cell_angle_alpha 90.00
_cell_angle_beta 111.59
_cell_angle_gamma 90.00
loop_
_atom_site_label
_atom_site_type_symbol
_atom_site_fract_x
_atom_site_fract_y
_atom_site_fract_z
_atom_site_occupancy
Na1 Na 0.2142 0.2500 0.2472 1
Br1 Br 0.4961 0.2500 0.7548 1
Cl1 Cl 0.0023 0.2500 0.7595 1
# Uncorrected formation energy: -1040 meV per atom
# D(E_F): 2.679 states/eV/cell


# 5
# Na3BrCl6 | Alexandria via LeMat-Bulk | GGA-PBE | optimized geometry
data_Na3BrCl6
_space_group_name_H-M_alt 'P 1 21/c 1'
_space_group_IT_number 14
_space_group_name_Hall '-P 2ybc'
_cell_length_a 4.7707
_cell_length_b 7.7550
_cell_length_c 15.6138
_cell_angle_alpha 90.00
_cell_angle_beta 106.51
_cell_angle_gamma 90.00
loop_
_atom_site_label
_atom_site_type_symbol
_atom_site_fract_x
_atom_site_fract_y
_atom_site_fract_z
_atom_site_occupancy
Na1 Na 0.0000 0.0000 0.0000 1
Na2 Na 0.3128 0.1669 0.7477 1
Br1 Br 0.5000 0.0000 0.5000 1
Cl1 Cl 0.1207 0.5081 0.6976 1
Cl2 Cl 0.2938 0.6816 0.0943 1
Cl3 Cl 0.4376 0.2455 0.0820 1
# Uncorrected formation energy: -1011 meV per atom
# D(E_F): 0.000 states/eV/cell


# 6
# NaBr2Cl8 | Alexandria via LeMat-Bulk | GGA-PBE | optimized geometry
data_NaBr2Cl8
_space_group_name_H-M_alt 'C 1 2/m 1'
_space_group_IT_number 12
_space_group_name_Hall '-C 2y'
_cell_length_a 15.1906
_cell_length_b 6.0543
_cell_length_c 8.6898
_cell_angle_alpha 90.00
_cell_angle_beta 105.19
_cell_angle_gamma 90.00
loop_
_atom_site_label
_atom_site_type_symbol
_atom_site_fract_x
_atom_site_fract_y
_atom_site_fract_z
_atom_site_occupancy
Na1 Na 0.0000 0.0000 0.0000 1
Br1 Br 0.2302 0.5000 0.1993 1
Cl1 Cl 0.0968 0.5000 0.2670 1
Cl2 Cl 0.1255 0.2543 0.9038 1
Cl3 Cl 0.1762 0.0000 0.5564 1
# Uncorrected formation energy: -34 meV per atom
# D(E_F): 10.412 states/eV/cell